# BaThGe, optimized geometry, DFT PBE
# Mass density (g cm⁻³): 7.06
# Calculated total energy (eV/atom): -4.833
# SG: P4/mmm, No. 123
# Calculated formation energy (eV per atom): -0.180
# D(E_F) (states/eV/f.u.): 3.7
data_BaThGe
_cell_length_a 5.418
_cell_length_b 3.832
_cell_length_c 14.164
_cell_angle_alpha 90.00
_cell_angle_beta 90.00
_cell_angle_gamma 134.99
_space_group_name_H-M_alt 'P 1'
_space_group_IT_number 1
loop_
_space_group_symop_operation_xyz
'x,y,z'
loop_
_atom_site_label
_atom_site_type_symbol
_atom_site_fract_x
_atom_site_fract_y
_atom_site_fract_z
Ge1 Ge 0.694 0.389 0.000
Ge2 Ge 0.195 0.389 0.500
Ba1 Ba 0.194 0.389 0.851
Ba2 Ba 0.194 0.389 0.149
Th1 Th 0.695 0.389 0.389
Th2 Th 0.695 0.389 0.611

# BaTi2Ge2, optimized geometry, DFT PBE
# Mass density (g cm⁻³): 5.10
# Calculated total energy (eV/atom): -5.854
# SG: I4/mmm, No. 139
# Calculated formation energy (eV per atom): -0.465
# D(E_F) (states/eV/f.u.): 5.3
data_BaTi2Ge2
_cell_length_a 4.392
_cell_length_b 4.392
_cell_length_c 7.103
_cell_angle_alpha 71.99
_cell_angle_beta 71.99
_cell_angle_gamma 90.00
_space_group_name_H-M_alt 'P 1'
_space_group_IT_number 1
loop_
_space_group_symop_operation_xyz
'x,y,z'
loop_
_atom_site_label
_atom_site_type_symbol
_atom_site_fract_x
_atom_site_fract_y
_atom_site_fract_z
Ge1 Ge 0.641 0.641 0.718
Ge2 Ge 0.359 0.359 0.282
Ba1 Ba 0.000 0.000 0.000
Ti1 Ti 0.250 0.750 0.500
Ti2 Ti 0.750 0.250 0.500

# BaTi2Ge2, optimized geometry, DFT PBE
# Mass density (g cm⁻³): 6.17
# Calculated total energy (eV/atom): -5.624
# SG: P4/mbm, No. 127
# Calculated formation energy (eV per atom): -0.235
# D(E_F) (states/eV/f.u.): 3.8
data_BaTi2Ge2
_cell_length_a 8.254
_cell_length_b 8.254
_cell_length_c 2.990
_cell_angle_alpha 90.00
_cell_angle_beta 90.00
_cell_angle_gamma 90.00
_space_group_name_H-M_alt 'P 1'
_space_group_IT_number 1
loop_
_space_group_symop_operation_xyz
'x,y,z'
loop_
_atom_site_label
_atom_site_type_symbol
_atom_site_fract_x
_atom_site_fract_y
_atom_site_fract_z
Ti1 Ti 0.882 0.618 0.000
Ti2 Ti 0.382 0.882 0.000
Ti3 Ti 0.618 0.118 0.000
Ti4 Ti 0.118 0.382 0.000
Ba1 Ba 0.000 0.000 0.000
Ba2 Ba 0.500 0.500 0.000
Ge1 Ge 0.667 0.833 0.500
Ge2 Ge 0.167 0.667 0.500
Ge3 Ge 0.333 0.167 0.500
Ge4 Ge 0.833 0.333 0.500

# BaTi2Ge2, optimized geometry, DFT PBE
# Mass density (g cm⁻³): 4.82
# Calculated total energy (eV/atom): -5.551
# SG: I4/mmm, No. 139
# Calculated formation energy (eV per atom): -0.161
# D(E_F) (states/eV/f.u.): 4.4
data_BaTi2Ge2
_cell_length_a 4.935
_cell_length_b 4.935
_cell_length_c 6.385
_cell_angle_alpha 67.27
_cell_angle_beta 67.27
_cell_angle_gamma 90.00
_space_group_name_H-M_alt 'P 1'
_space_group_IT_number 1
loop_
_space_group_symop_operation_xyz
'x,y,z'
loop_
_atom_site_label
_atom_site_type_symbol
_atom_site_fract_x
_atom_site_fract_y
_atom_site_fract_z
Ge1 Ge 0.750 0.250 0.500
Ge2 Ge 0.250 0.750 0.500
Ba1 Ba 0.000 0.000 0.000
Ti1 Ti 0.687 0.687 0.626
Ti2 Ti 0.313 0.313 0.374

# BaTiGe, optimized geometry, DFT PBE
# Mass density (g cm⁻³): 5.26
# Calculated total energy (eV/atom): -4.850
# SG: P4/mmm, No. 123
# Calculated formation energy (eV per atom): -0.038
# D(E_F) (states/eV/f.u.): 3.8
data_BaTiGe
_cell_length_a 5.190
_cell_length_b 3.669
_cell_length_c 12.105
_cell_angle_alpha 90.00
_cell_angle_beta 90.00
_cell_angle_gamma 135.01
_space_group_name_H-M_alt 'P 1'
_space_group_IT_number 1
loop_
_space_group_symop_operation_xyz
'x,y,z'
loop_
_atom_site_label
_atom_site_type_symbol
_atom_site_fract_x
_atom_site_fract_y
_atom_site_fract_z
Ba1 Ba 0.695 0.389 0.684
Ba2 Ba 0.695 0.389 0.316
Ti1 Ti 0.194 0.389 0.914
Ti2 Ti 0.194 0.389 0.086
Ge1 Ge 0.694 0.389 0.000
Ge2 Ge 0.195 0.389 0.500

# Ba4Tl5Ge2, optimized geometry, DFT PBE
# Mass density (g cm⁻³): 7.11
# Calculated total energy (eV/atom): -2.984
# SG: P2/m, No. 10
# Calculated formation energy (eV per atom): -0.370
# D(E_F) (states/eV/f.u.): 9.3
data_Ba4Tl5Ge2
_cell_length_a 5.097
_cell_length_b 8.260
_cell_length_c 9.521
_cell_angle_alpha 88.17
_cell_angle_beta 90.00
_cell_angle_gamma 90.00
_space_group_name_H-M_alt 'P 1'
_space_group_IT_number 1
loop_
_space_group_symop_operation_xyz
'x,y,z'
loop_
_atom_site_label
_atom_site_type_symbol
_atom_site_fract_x
_atom_site_fract_y
_atom_site_fract_z
Tl1 Tl 0.000 0.573 0.352
Tl2 Tl 0.000 0.500 0.000
Tl3 Tl 0.000 0.872 0.876
Tl4 Tl 0.000 0.128 0.124
Tl5 Tl 0.000 0.427 0.648
Ba1 Ba 0.500 0.211 0.850
Ba2 Ba 0.500 0.789 0.150
Ba3 Ba 0.500 0.235 0.389
Ba4 Ba 0.500 0.765 0.611
Ge1 Ge 0.000 0.069 0.619
Ge2 Ge 0.000 0.931 0.381

# BaTl2Ge, optimized geometry, DFT PBE
# Mass density (g cm⁻³): 7.21
# Calculated total energy (eV/atom): -2.902
# SG: I-42d, No. 122
# Calculated formation energy (eV per atom): -0.084
# D(E_F) (states/eV/f.u.): 2.2
data_BaTl2Ge
_cell_length_a 5.200
_cell_length_b 5.200
_cell_length_c 11.167
_cell_angle_alpha 76.54
_cell_angle_beta 76.54
_cell_angle_gamma 90.00
_space_group_name_H-M_alt 'P 1'
_space_group_IT_number 1
loop_
_space_group_symop_operation_xyz
'x,y,z'
loop_
_atom_site_label
_atom_site_type_symbol
_atom_site_fract_x
_atom_site_fract_y
_atom_site_fract_z
Ge1 Ge 0.250 0.750 0.500
Ge2 Ge 0.500 0.500 0.000
Ba1 Ba 0.000 0.000 0.000
Ba2 Ba 0.750 0.250 0.500
Tl1 Tl 0.230 0.625 0.250
Tl2 Tl 0.520 0.125 0.250
Tl3 Tl 0.875 0.770 0.750
Tl4 Tl 0.375 0.480 0.750

# BaTl2Ge, optimized geometry, DFT PBE
# Mass density (g cm⁻³): 7.91
# Calculated total energy (eV/atom): -3.041
# SG: R-3m, No. 166
# Calculated formation energy (eV per atom): -0.223
# D(E_F) (states/eV/f.u.): 0.9
data_BaTl2Ge
_cell_length_a 4.926
_cell_length_b 4.926
_cell_length_c 6.806
_cell_angle_alpha 68.78
_cell_angle_beta 68.78
_cell_angle_gamma 60.00
_space_group_name_H-M_alt 'P 1'
_space_group_IT_number 1
loop_
_space_group_symop_operation_xyz
'x,y,z'
loop_
_atom_site_label
_atom_site_type_symbol
_atom_site_fract_x
_atom_site_fract_y
_atom_site_fract_z
Ba1 Ba 0.000 0.000 0.000
Tl1 Tl 0.225 0.225 0.325
Tl2 Tl 0.775 0.775 0.675
Ge1 Ge 0.500 0.500 0.500